1.
The following is a DFT calculation (PBE) of crystalline TaAsRh2 at its relaxed geometry.

The structure in POSCAR format:
```
TaAsRh2
1.0
4.0481 0.0000 0.0000
0.0000 2.8969 -0.0073
0.0000 1.4632 5.3036
Ta Rh As
1 2 1
Direct
0.0000 0.5620 0.5013 Ta
0.0000 0.8177 0.9905 Rh
0.5000 0.1809 0.2633 Rh
0.5000 0.9394 0.7448 As
```

Computed properties:
DOS(E_F)   3.1 states/eV/f.u.
Magnetic moment   0.000 μB per atom
Formation energy   -0.35 eV/atom
E_tot   -8.1475 eV per atom

2.
The following is a DFT calculation (PBE) of crystalline LaBeNb3 at its relaxed geometry.

The structure in POSCAR format:
```
LaBeNb3
1.0
-2.9463 1.9962 3.0259
2.1724 -2.1493 3.5331
2.9020 3.6355 0.4273
La Nb Be
1 3 1
Direct
0.5000 0.5000 0.5000 La
0.5000 0.0000 0.0000 Nb
0.0000 0.0000 0.5000 Nb
0.0000 0.5000 0.0000 Nb
0.0000 0.0000 0.0000 Be
```

Computed properties:
DOS(E_F)   6.4 states/eV/f.u.
Magnetic moment   0.000 μB per atom
Energy relative to the lowest polymorph listed for this composition   0.0 meV per atom
Formation energy   0.66 eV/atom
E_tot   -7.1129 eV per atom

3.
The following is a DFT calculation (PBE) of crystalline Cs3Ac2F8 at its relaxed geometry.

The structure in POSCAR format:
```
Cs3Ac2F8
1.0
4.4318 0.0000 0.0000
0.0000 7.8599 -4.2913
-0.0001 -0.4888 8.4483
Ac F Cs
2 8 3
Direct
0.5000 0.2576 0.5152 Ac
0.5000 0.7424 0.4848 Ac
0.0000 0.1473 0.2946 F
0.5000 0.6068 0.6865 F
0.5000 0.3932 0.3135 F
0.5000 0.0797 0.6865 F
0.0000 0.3363 0.6726 F
0.5000 0.9203 0.3135 F
0.0000 0.8527 0.7054 F
0.0000 0.6637 0.3274 F
0.0000 0.6959 0.0000 Cs
0.0000 0.3041 0.0000 Cs
0.5000 0.0000 0.0000 Cs
```

Computed properties:
DOS(E_F)   1.1 states/eV/f.u.
Magnetic moment   0.077 μB per atom
Formation energy (no corrections)   -3.27 eV per atom
E_tot   -5.2486 eV per atom

4.
The following is a DFT calculation (PBE) of crystalline Tb4DyEr2 at its relaxed geometry.

The structure in POSCAR format:
```
Tb4DyEr2
1.0
-0.6389 4.5004 4.0800
4.1153 -3.0503 4.0090
8.8087 3.1572 -6.6402
Dy Er Tb
2 4 8
Direct
0.8420 0.2500 0.8400 Dy
0.1580 0.7500 0.1600 Dy
0.6061 0.7500 0.9974 Er
0.7107 0.7500 0.5720 Er
0.2893 0.2500 0.4280 Er
0.3939 0.2500 0.0026 Er
0.6510 0.5039 0.2872 Tb
0.3490 0.4961 0.7128 Tb
0.9727 0.2500 0.1414 Tb
0.6510 0.9961 0.2872 Tb
0.0273 0.7500 0.8586 Tb
0.1475 0.7500 0.4451 Tb
0.8525 0.2500 0.5549 Tb
0.3490 0.0039 0.7128 Tb
```

Computed properties:
DOS(E_F)   11.5 states/eV/f.u.
Magnetic moment   0.000 μB per atom
Energy relative to the lowest polymorph listed for this composition   100.2 meV per atom
Formation energy   0.14 eV/atom
E_tot   -4.4699 eV per atom

5.
The following is a DFT calculation (PBE) of crystalline Mn2AsBr at its relaxed geometry.

The structure in POSCAR format:
```
Mn2AsBr
1.0
-1.3436 2.4980 1.8096
-2.8145 -1.8013 0.3968
2.7836 -2.9862 6.1891
Mn As Br
2 1 1
Direct
0.0000 0.0000 0.0291 Mn
0.5000 0.5000 0.2482 Mn
0.0000 0.0000 0.3736 As
0.5000 0.5000 0.8491 Br
```

Computed properties:
DOS(E_F)   2.0 states/eV/f.u.
Magnetic moment   1.886 μB per atom
Energy relative to the lowest polymorph listed for this composition   3.6 meV per atom
Formation energy (no corrections)   -0.07 eV per atom
E_tot   -6.2364 eV per atom

6.
The following is a DFT calculation (PBE) of crystalline Hf2ScIn at its relaxed geometry.

The structure in POSCAR format:
```
Hf2ScIn
1.0
3.0930 0.0000 0.0000
1.5465 2.6786 0.0000
1.5465 0.8929 11.2690
In Hf Sc
1 2 1
Direct
0.5000 0.5000 0.5000 In
0.9107 0.9107 0.2678 Hf
0.0893 0.0893 0.7322 Hf
0.0000 0.0000 0.0000 Sc
```

Computed properties:
DOS(E_F)   4.1 states/eV/f.u.
Magnetic moment   0.156 μB per atom
Formation energy   0.24 eV/atom
E_tot   -7.0032 eV per atom

7.
The following is a DFT calculation (PBE) of crystalline NbFeAs3 at its relaxed geometry.

The structure in POSCAR format:
```
NbFeAs3
1.0
4.5575 0.0000 0.0000
0.0000 4.5575 0.0000
0.0000 0.0000 4.5575
Nb As Fe
1 3 1
Direct
0.5000 0.5000 0.5000 Nb
0.5000 0.0000 0.0000 As
0.0000 0.0000 0.5000 As
0.0000 0.5000 0.0000 As
0.0000 0.0000 0.0000 Fe
```

Computed properties:
DOS(E_F)   10.7 states/eV/f.u.
Magnetic moment   0.274 μB per atom
Energy relative to the lowest polymorph listed for this composition   0.0 meV per atom
Formation energy   0.67 eV/atom
E_tot   -5.8251 eV per atom

8.
The following is a DFT calculation (PBE) of crystalline Ac4Nd7Y at its relaxed geometry.

The structure in POSCAR format:
```
Ac4Nd7Y
1.0
3.7957 0.0000 0.0000
-1.8979 3.2872 0.0000
0.0000 0.0000 36.7757
Ac Y Nd
4 1 7
Direct
0.6667 0.3333 0.3360 Ac
0.3333 0.6667 0.6640 Ac
0.6667 0.3333 0.0850 Ac
0.3333 0.6667 0.9150 Ac
0.0000 0.0000 0.5000 Y
0.6667 0.3333 0.8296 Nd
0.3333 0.6667 0.1704 Nd
0.0000 0.0000 0.0000 Nd
0.3333 0.6667 0.4213 Nd
0.0000 0.0000 0.2507 Nd
0.0000 0.0000 0.7493 Nd
0.6667 0.3333 0.5787 Nd
```

Computed properties:
DOS(E_F)   19.5 states/eV/f.u.
Magnetic moment   0.000 μB per atom
Formation energy   0.04 eV/atom
E_tot   -4.6515 eV per atom